First-principles (PBE) data for Th2TeRh after structural relaxation, as listed in Alexandria.

The structure in CIF format:
```
data_Th2TeRh
_cell_length_a 4.1826
_cell_length_b 4.1826
_cell_length_c 23.1015
_cell_angle_alpha 90.00
_cell_angle_beta 90.00
_cell_angle_gamma 120.00
_symmetry_space_group_name_H-M 'R -3 m'
_symmetry_Int_Tables_number 166
_symmetry_space_group_name_Hall '-R 3 2"'
loop_
_atom_site_label
_atom_site_fract_x
_atom_site_fract_y
_atom_site_fract_z
Th1 0.0000 0.0000 0.2346
Te1 0.0000 0.0000 0.0000
Rh1 0.0000 0.0000 0.5000
```

Summary:
E above lowest polymorph	0.0	meV/atom
Fermi-level density of states	0.669	states/eV per atom
calculated density	9.9	g/cm³
DFT total energy	-7.372	eV/atom